Computed, not measured: a relaxed TbMg crystal at the GGA-PBE level of DFT.

```
TbMg
1.0
5.641 0.000 0.000
0.000 3.688 0.000
0.000 0.000 5.418
Mg Tb
2 2
Direct
0.990 0.000 0.000
0.843 0.500 0.500
0.494 0.500 0.000
0.339 0.000 0.500
```

As for the crystal system: orthorhombic. Its uncorrected energy is -3.05 eV/atom.